Sb2TeAsCl: optimized geometry, GGA-PBEsol.

Structure (POSCAR):
```
Sb2TeAsCl
1.0
-2.850 3.968 -1.885
-4.392 -2.618 1.130
-0.086 2.185 4.729
Cl Sb As Te
1 2 1 1
Direct
0.000 0.000 0.000
0.000 0.500 0.000
0.500 0.000 0.000
0.500 0.500 0.500
0.000 0.000 0.500
```

Output
Space-group type   No. 123
Calculated volume   28.6 Å³/atom
Formation energy from raw total energies   0.95 eV/atom
Theoretical density   5.6 g cm⁻³